# 1
K3Cu2Br9, optimized geometry, DFT PBE; volume = 412.38 Å³/cell; formation energy from raw total energies = -0.81 eV per atom
1.0
-1.1587 2.0512 -6.8230
-5.3593 -2.9280 3.8481
-2.4475 8.3093 2.9137
Cu Br K
2 9 3
Cartesian
-5.9887 5.6223 2.7073
-2.9768 1.8103 -2.7685
-3.2590 -0.4384 -1.4874
-0.5794 1.0256 -3.4115
-2.6497 3.8718 -4.0928
-5.3005 2.4236 -2.1894
-3.6651 5.0089 2.1283
-6.8890 4.5753 0.6569
-2.6797 -1.4640 1.9241
-6.3159 3.5607 4.0316
-2.0766 2.8573 -0.7180
0.0000 0.0000 0.0000
-4.1606 5.8291 -1.3592
-4.8050 1.6035 1.2981

# 2
K3Cu2Br7, optimized geometry, DFT PBE; distance to the lowest polymorph of the same formula = 0.000 eV/atom; volume = 356.82 Å³/cell; formation energy from raw total energies = -0.99 eV per atom
1.0
5.1056 0.0000 -0.9595
-0.1803 5.1024 -0.9595
-0.0641 -0.0664 13.7224
Cu K Br
2 3 7
Cartesian
4.3902 4.5481 9.2975
0.4709 0.4879 2.5059
3.3229 3.4424 3.6178
1.5383 1.5937 8.1855
2.4626 2.5512 -0.9595
3.0007 0.4640 1.9036
0.0000 0.0000 0.0000
3.9301 4.0715 6.8492
1.8605 4.5720 9.8998
4.5034 2.0208 9.8998
0.9311 0.9645 4.9542
0.3578 3.0152 1.9036

# 3
KCu7Br12, optimized geometry, DFT PBE; volume = 473.81 Å³/cell; formation energy from raw total energies = -0.37 eV per atom
1.0
8.5063 0.0000 0.0000
-2.8354 8.0198 0.0000
-2.8354 -4.0099 6.9454
Cu Br K
7 12 1
Cartesian
1.4177 2.0050 3.4727
-1.4177 4.0099 0.0000
-2.8354 2.0050 3.4727
-1.4177 -2.0050 3.4727
2.8354 -2.0050 3.4727
4.2531 0.0000 0.0000
2.8354 4.0099 0.0000
-0.7902 2.6843 2.1949
-2.8767 4.1597 4.7504
3.6256 1.3256 4.7504
0.7902 -0.5587 3.4221
5.7121 -0.1498 2.1949
-0.0413 6.0441 0.9678
2.0453 4.5686 3.5232
4.8807 4.7768 1.2272
2.8767 -2.0341 5.9776
2.7941 1.8260 1.2272
-2.0453 -0.7669 5.7182
0.0413 2.1839 5.7182
0.0000 0.0000 0.0000

# 4
KCuBr4, optimized geometry, DFT PBE; volume = 203.64 Å³/cell; formation energy from raw total energies = -0.67 eV per atom
1.0
-0.7062 2.1893 5.2458
-4.9570 -0.7067 2.7549
0.7230 -5.5563 5.5435
Br K Cu
4 1 1
Cartesian
-0.4888 -0.7636 1.8165
-2.2672 -2.5614 5.4547
-2.6729 -1.5123 8.0895
-4.4513 -3.3102 11.7278
-2.8316 0.7413 4.0004
0.3615 -2.7782 2.7717

# 5
K3CuBr4, optimized geometry, DFT PBE; distance to the lowest polymorph of the same formula = 0.023 eV/atom; volume = 627.24 Å³/cell; formation energy from raw total energies = -1.30 eV per atom
1.0
6.6916 0.0000 0.0000
0.0000 8.6674 0.0000
0.0000 0.0000 10.8148
Br Cu K
8 2 6
Cartesian
4.1073 2.0250 0.0000
3.8577 6.1248 7.7119
3.8577 6.1248 3.1029
0.5119 2.5426 8.5103
3.7915 0.8248 5.4074
0.5119 2.5426 2.3045
0.4457 7.8426 0.0000
0.7615 6.6424 5.4074
6.5539 1.6864 0.0000
3.2081 6.9810 5.4074
0.4337 1.0847 5.4074
3.7795 7.5827 0.0000
3.8062 2.8761 7.8765
0.4604 5.7913 2.4691
0.4604 5.7913 8.3457
3.8062 2.8761 2.9383

# 6
K4Cu3Br10, optimized geometry, DFT PBE; volume = 493.47 Å³/cell; formation energy from raw total energies = -0.95 eV per atom
1.0
-1.2375 -3.3626 -3.7032
3.9054 1.7342 -2.8798
9.9387 -11.8028 10.9812
Br K Cu
10 4 3
Cartesian
7.8702 -8.1300 1.1672
11.0611 -11.7015 3.3439
1.9527 0.8671 -1.4399
2.4700 -5.1384 0.2554
1.5455 -1.7298 1.0543
-0.6188 -1.6813 -1.8516
4.7364 -5.3013 3.2310
10.1367 -8.2929 4.1428
5.0414 -2.5900 0.6671
7.5652 -10.8413 3.7311
6.7675 -7.5746 4.6165
2.8721 -2.5358 -2.2422
5.8391 -5.8567 -0.2183
9.7346 -10.8955 6.6405
0.0000 0.0000 0.0000
3.1784 -3.5575 2.1682
9.4282 -9.8738 2.2300

# 7
KCuBr6, optimized geometry, DFT PBE; volume = 232.26 Å³/cell; formation energy from raw total energies = -0.39 eV per atom
1.0
6.4509 -0.6574 -0.7436
-1.3580 6.3406 -0.7436
-1.3580 -1.5154 6.2015
Cu Br K
1 6 1
Cartesian
1.8675 2.0839 2.3572
0.2635 0.2940 3.2350
3.4715 3.8738 1.4794
3.1268 0.6086 0.6884
0.2635 3.1746 0.6884
0.6082 3.5592 4.0260
3.4715 0.9933 4.0260
0.0000 0.0000 0.0000

# 8
KCu2Br6, optimized geometry, DFT PBE; distance to the lowest polymorph of the same formula = 0.038 eV/atom; volume = 284.03 Å³/cell; formation energy from raw total energies = -0.49 eV per atom
1.0
-3.1923 1.5753 -5.6500
-3.4517 -2.1478 5.2978
-0.7216 6.9346 2.3412
Cu Br K
2 6 1
Cartesian
-3.6396 3.8016 -0.8301
-3.7260 2.5605 2.8192
-4.6386 4.5010 1.4207
-2.2020 3.0574 -2.8134
-1.8099 4.0454 3.6419
-2.3634 0.7414 3.9971
-2.7270 1.8611 0.5683
-1.7118 5.4524 -0.4954
0.0000 0.0000 0.0000

# 9
KCuBr4, optimized geometry, DFT PBE; volume = 196.23 Å³/cell; formation energy from raw total energies = 0.16 eV per atom
1.0
2.2763 -5.7989 1.9331
-0.7579 -1.9014 6.1932
-4.1537 -4.8163 1.4479
Br Cu K
4 1 1
Cartesian
-3.0583 -7.0986 4.3161
0.1442 -7.5880 4.5578
-1.3670 -5.6468 6.6796
-0.9895 -4.6998 3.5950
-1.9765 -9.3875 7.1807
0.0000 0.0000 0.0000

# 10
K3CuBr, optimized geometry, DFT PBE; distance to the lowest polymorph of the same formula = 0.000 eV/atom; volume = 247.39 Å³/cell; formation energy from raw total energies = -0.33 eV per atom
1.0
-3.8008 4.2644 2.6033
-4.4588 -1.4195 -4.1847
-2.2540 -4.3827 3.8883
Cu K Br
1 3 1
Cartesian
-5.2568 -0.7689 1.1534
-1.1270 -2.1914 1.9442
-2.2294 -0.7097 -2.0924
-1.9004 2.1322 1.3016
0.0000 0.0000 0.0000

# 11
K3Cu5Br12, optimized geometry, DFT PBE; volume = 2334.73 Å³/cell; formation energy from raw total energies = -0.70 eV per atom
1.0
-2.3816 8.0103 11.8190
7.8462 -11.6327 3.5558
7.1975 7.8661 -9.7902
Br K Cu
48 12 20
Cartesian
7.5021 -1.7127 9.9416
9.8895 5.1569 0.3494
13.3508 -0.0720 -2.8690
2.9164 5.8423 10.0416
7.7934 -9.0277 3.3745
4.8955 -3.1943 7.2090
7.9585 0.3972 -1.9213
1.4402 5.5888 1.6186
3.8331 7.3624 6.8080
7.9719 1.6776 8.5403
2.7726 -0.9132 5.2352
6.2602 3.2333 0.4299
8.8290 -3.1187 -1.2234
4.2004 6.8009 -0.5070
10.0675 4.2048 5.8813
4.0418 7.7799 3.0459
12.6624 -2.0306 0.1800
9.0084 1.8982 -6.4835
8.8959 7.4535 3.7533
4.7036 3.8465 7.5060
9.6595 -6.7741 0.3271
9.7457 -1.5986 -4.4569
8.6203 -3.5362 2.5388
11.2220 -1.3451 3.9660
5.1600 5.9565 -4.3569
3.7294 2.2948 2.9440
-0.6886 4.3157 8.4537
4.8687 13.2714 2.2101
8.4726 4.0299 -2.8757
8.9327 1.9489 2.6407
8.4617 -2.5572 6.0916
3.7662 -3.2098 1.8314
1.0841 2.7552 5.6202
7.2162 10.0050 1.6856
5.1782 -3.8014 12.7850
6.1172 -0.2389 1.6958
2.5946 0.0389 -0.2967
6.5449 4.4826 3.8889
5.4459 -5.7613 3.8991
4.1895 0.2138 8.4603
7.4839 8.0451 -7.2003
3.0026 11.0178 5.2575
6.4019 1.0104 5.1548
-0.0002 6.2743 5.4046
4.6902 2.5661 -2.9556
3.6537 2.3455 12.0682
11.5780 1.4885 -0.0356
7.7666 7.4380 -1.6244
11.9659 -3.2777 -2.7539
4.7005 -0.7322 11.7847
5.8102 -2.3000 4.2070
10.6063 1.6150 -3.3893
9.4900 -0.8043 0.9801
7.9617 4.9760 -6.2001
9.5777 0.7454 5.8567
0.6962 7.5214 8.3386
6.8519 6.5437 1.3777
2.0558 2.6287 8.9739
3.1721 5.0480 4.6045
3.0844 3.4983 -0.2721
-1.1908 4.0051 5.9095
1.9681 1.0789 4.0973
3.5987 3.9330 -4.8951
5.8167 1.6871 7.4153
6.3311 2.1219 2.7923
8.2860 -4.7734 0.4729
10.6940 3.1648 1.4873
2.4079 7.9382 1.0144
3.9231 -5.8163 1.7779
5.4924 11.4365 0.7424
6.8454 2.5566 -1.8307
7.1763 -3.2056 8.0507
0.0000 0.0000 0.0000
8.2181 5.6381 5.2214
2.7323 -1.8112 7.6874
4.4440 -1.3944 0.3633
7.1697 -7.1928 4.8423
4.3761 9.0171 5.1118
5.4858 7.4493 -2.4660
7.5219 -1.8833 -3.1172

# 12
K3CuBr4, optimized geometry, DFT PBE; distance to the lowest polymorph of the same formula = 0.000 eV/atom; volume = 610.42 Å³/cell; formation energy from raw total energies = -1.32 eV per atom
1.0
4.4786 0.0000 0.0000
0.0000 10.2441 0.0000
0.0000 0.0000 13.3048
Br K Cu
8 6 2
Cartesian
2.5279 0.9261 6.6524
0.2884 3.0352 2.1199
0.2886 9.3180 0.0000
0.2886 4.6967 6.6524
2.5277 7.2089 8.7723
0.2884 3.0352 11.1849
2.5277 7.2089 4.5325
2.5279 5.5474 0.0000
2.5274 3.2590 8.8189
0.2881 6.9851 11.1384
0.2886 8.8627 6.6524
2.5279 1.3814 0.0000
2.5274 3.2590 4.4860
0.2881 6.9851 2.1664
2.5281 6.0209 6.6524
0.2888 4.2231 0.0000

Q: The highest formation energy from raw total energies belongs to which entry?
A: number 9